[1]
The following is a DFT calculation (PBE-GGA) of Mn2TcP after structural relaxation.

Values from the calculation:
formation energy from the elements: -0.189 eV per atom

a b c (Å): 2.927 4.027 4.126
angles (deg): 90.00 90.00 90.00
Space group Pmmm (No. 47)
Inequivalent atoms, fractional coordinates:
Mn (0.000, 0.000, 0.000) x1
Mn (0.500, 0.500, 0.000) x1
Tc (0.000, 0.500, 0.500) x1
P (0.500, 0.000, 0.500) x1



[2]
The following is a DFT calculation (PBE-GGA) of K4Hg after structural relaxation.

Values from the calculation:
formation energy from the elements: -0.086 eV per atom

a b c (Å): 8.601 8.601 7.862
angles (deg): 90.00 90.00 90.00
Space group P4/nbm (No. 125, origin choice 2)
Inequivalent atoms, fractional coordinates:
K (0.072, 0.572, 0.243) x8
Hg (0.250, 0.250, 0.000) x2



[3]
The following is a DFT calculation (PBE-GGA) of YC after structural relaxation.

Values from the calculation:
formation energy from the elements: -0.103 eV per atom

a b c (Å): 4.3361 4.3361 12.3475
angles (deg): 90.00 90.00 120.00
Space group R-3m (No. 166, hexagonal axes)
Inequivalent atoms, fractional coordinates:
Y (0.0000, 0.0000, 0.2504) x6
C (0.0000, 0.0000, 0.0588) x6



Look up the formation energy from the elements of the first one. -0.189 eV per atom



Which of these has the lowest formation energy from the elements? Mn2TcP